Arrangement i

Li2Ti3O6 after structural relaxation, computed with PBE-GGA.

Output
V = 113 Å³/cell

Cell: 5.103 5.103 5.253 Å, 80.90 80.90 119.59°
Site moments in Bohr magnetons follow the coordinates.
Element x y z (fractional)
O 0.405 0.065 0.782  0.01
Li 0.832 0.168 0.500  0.00
Li 0.168 0.832 0.500  0.00
O 0.244 0.244 0.229  0.01
O 0.935 0.595 0.218  0.01
Ti 0.000 0.000 0.000  0.29
O 0.756 0.756 0.771  0.01
O 0.065 0.405 0.782  0.01
O 0.595 0.935 0.218  0.01
Ti 0.659 0.341 0.000  0.47
Ti 0.341 0.659 0.000  0.47



Arrangement ii

Li2Ti3O6 after structural relaxation, computed with PBE-GGA.

Output
V = 211 Å³/cell

Cell: 9.577 9.009 5.179 Å, 79.96 67.86 32.17°
Element x y z (fractional)
Ti 0.585 0.585 0.915
O 0.680 0.149 0.339
Li 0.831 0.831 0.169
Ti 0.000 0.000 0.000
Ti 0.335 0.335 0.665
O 0.149 0.680 0.832
Li 0.169 0.169 0.831
O 0.911 0.418 0.570
O 0.764 0.236 0.764
Ti 0.915 0.915 0.585
Li 0.081 0.081 0.419
O 0.486 0.014 0.486
Ti 0.665 0.665 0.335
O 0.339 0.832 0.680
O 0.014 0.486 0.014
O 0.832 0.339 0.149
O 0.570 0.101 0.911
Ti 0.250 0.250 0.250
O 0.418 0.911 0.101
O 0.236 0.764 0.236
O 0.101 0.570 0.418
Li 0.419 0.419 0.081



Relative to the most stable one, in kJ/mol of atoms, the structures come out at arrangement i 2.7; arrangement ii 0.0.



Arrangement i

LiTi4O8 after structural relaxation, computed with PBE-GGA.

Output
V = 419 Å³/cell

Cell: 5.792 7.270 10.183 Å, 78.79 88.45 85.70°
Site moments in Bohr magnetons follow the coordinates.
Element x y z (fractional)
O 0.970 0.457 0.271  0.00
Li 0.995 0.436 0.930  0.00
Ti 0.280 0.699 0.793  0.23
O 0.224 0.456 0.517  0.00
O 0.788 0.809 0.101  -0.01
O 0.466 0.129 0.656  -0.01
O 0.032 0.870 0.843  -0.01
O 0.705 0.193 0.398  -0.01
O 0.714 0.455 0.019  0.00
Ti 0.011 0.690 0.552  0.15
Ti 0.778 0.699 0.290  0.15
O 0.301 0.796 0.599  -0.01
O 0.468 0.456 0.764  0.00
O 0.279 0.545 0.978  0.00
O 0.463 0.193 0.147  -0.01
O 0.529 0.863 0.348  -0.01
O 0.544 0.808 0.854  -0.02
Ti 0.495 0.006 0.496  0.38
Ti 0.001 0.992 0.004  0.37
O 0.724 0.135 0.903  -0.01
O 0.216 0.132 0.406  -0.01
O 0.537 0.546 0.231  0.00
O 0.049 0.796 0.351  -0.01
Ti 0.222 0.303 0.705  0.26
O 0.785 0.545 0.483  0.00
Ti 0.259 0.014 0.245  0.38
Li 0.507 0.564 0.574  0.00
O 0.032 0.545 0.734  0.00
O 0.972 0.137 0.152  -0.01
Ti 0.735 0.312 0.208  0.19
Ti 0.748 0.000 0.752  0.35
Ti 0.515 0.688 0.043  0.20
O 0.278 0.863 0.098  -0.01
Ti 0.969 0.305 0.461  0.27
O 0.777 0.868 0.596  -0.01
Ti 0.484 0.310 0.949  0.18
O 0.954 0.192 0.649  -0.01
O 0.200 0.203 0.901  -0.01
Li 0.253 0.566 0.318  0.00



Arrangement ii

LiTi4O8 after structural relaxation, computed with PBE-GGA.

Output
V = 150 Å³/cell

Cell: 5.938 5.938 5.938 Å, 60.58 60.58 60.58°
Element x y z (fractional)
Li 0.500 0.500 0.500
O 0.210 0.761 0.761
O 0.761 0.210 0.761
Ti 0.000 0.000 0.000
O 0.239 0.790 0.239
O 0.765 0.765 0.765
O 0.235 0.235 0.235
O 0.239 0.239 0.790
Ti 0.000 0.000 0.500
O 0.761 0.761 0.210
O 0.790 0.239 0.239
Ti 0.000 0.500 0.000
Ti 0.500 0.000 0.000



Relative to the most stable one, in kJ/mol of atoms, the structures come out at arrangement i 0.0; arrangement ii 6.6.



Arrangement i

LiTi4O8 after structural relaxation, computed with PBE-GGA.

Output
V = 151 Å³/cell

Cell: 5.976 5.976 5.976 Å, 60.00 60.00 60.00°
Element x y z (fractional)
Ti 0.374 0.879 0.374
O 0.165 0.612 0.612
O 0.612 0.165 0.612
Ti 0.374 0.374 0.879
Ti 0.879 0.374 0.374
O 0.140 0.140 0.140
O 0.140 0.579 0.140
O 0.579 0.140 0.140
O 0.612 0.612 0.612
Li 0.750 0.750 0.750
O 0.612 0.612 0.165
O 0.140 0.140 0.579
Ti 0.374 0.374 0.374



Arrangement ii

LiTi4O8 after structural relaxation, computed with PBE-GGA.

Output
V = 151 Å³/cell

Cell: 6.503 6.503 6.614 Å, 73.93 73.93 34.42°
Site moments in Bohr magnetons follow the coordinates.
Element x y z (fractional)
O 0.940 0.940 0.363  -0.01
Ti 0.195 0.195 0.714  0.15
O 0.057 0.057 0.637  -0.01
O 0.265 0.265 0.329  -0.01
O 0.149 0.149 0.996  -0.02
O 0.631 0.631 0.309  -0.01
Ti 0.900 0.900 0.701  0.16
Ti 0.096 0.096 0.300  0.17
O 0.736 0.736 0.649  0.00
Ti 0.795 0.795 0.306  0.14
O 0.856 0.856 0.006  -0.01
O 0.364 0.364 0.702  -0.01
Li 0.319 0.319 0.007  0.00



Relative to the most stable one, in kJ/mol of atoms, the structures come out at arrangement i 2.2; arrangement ii 0.0.



Arrangement i

LiTi2O4 after structural relaxation, computed with PBE-GGA.

Output
V = 69 Å³/cell

Cell: 2.909 4.872 4.879 Å, 88.80 90.00 90.00°
Site moments in Bohr magnetons follow the coordinates.
Element x y z (fractional)
O 0.500 0.182 0.786  -0.02
Ti 0.000 0.000 0.000  0.37
O 0.500 0.818 0.214  -0.02
Ti 0.500 0.500 0.500  0.52
O 0.000 0.330 0.266  -0.01
O 0.000 0.670 0.734  -0.01
Li 0.500 0.500 0.000  0.00



Arrangement ii

LiTi2O4 after structural relaxation, computed with PBE-GGA.

Output
V = 153 Å³/cell

Cell: 6.328 6.328 6.598 Å, 73.91 73.91 37.13°
Element x y z (fractional)
Ti 0.711 0.711 0.715
O 0.773 0.773 0.344
O 0.115 0.115 0.325
O 0.561 0.561 0.641
O 0.350 0.350 0.001
O 0.439 0.439 0.359
O 0.227 0.227 0.656
Li 0.058 0.058 0.649
Ti 0.386 0.386 0.708
Ti 0.289 0.289 0.285
O 0.885 0.885 0.675
Ti 0.614 0.614 0.292
O 0.650 0.650 0.999
Li 0.942 0.942 0.351



Relative to the most stable one, in kJ/mol of atoms, the structures come out at arrangement i 8.5; arrangement ii 0.0.